A geometry-optimized SmCd5Hg8 structure, computed with PBE.

Cell lengths 7.714, 7.714, 7.714 Å; angles 109.49, 109.44, 109.49 degrees
Element x y z (fractional)
Sm: 0.250 0.500 0.750
Cd: 0.032 0.367 0.116
Cd: 0.884 0.916 0.251
Cd: 0.749 0.633 0.665
Cd: 0.500 0.000 0.500
Cd: 0.335 0.084 0.968
Hg: 0.119 0.747 0.056
Hg: 0.944 0.062 0.691
Hg: 0.766 0.269 0.367
Hg: 0.633 0.398 0.901
Hg: 0.503 0.602 0.234
Hg: 0.628 0.938 0.881
Hg: 0.309 0.253 0.372
Hg: 0.099 0.731 0.497

Computed properties:
**Calculated formation energy**: -0.0611 eV per atom
**E**: -0.897 eV per atom